# 1
The following is a DFT calculation (PBE) of crystalline PrErPd2 at its relaxed geometry.

## Properties
relative energy among the computed polymorphs: 0.1394 eV per atom
size of the total moment: 0.00 μB/cell
calculated formation energy: -0.709 eV per atom
calculated volume: 25.1 Å³ per atom

Lattice parameters (Å, degrees): 7.0379 7.0379 7.0379 34.63 34.63 34.63
Last column: nearest neighbours and their distance in Å.
Atoms (fractional coordinates):
Pr  0.0000  0.0000  0.0000  6 Pd 3.01
Er  0.5000  0.5000  0.5000  6 Pd 2.85
Pd  0.2427  0.2427  0.2427  3 Er 2.85, 3 Pr 3.01
Pd  0.7573  0.7573  0.7573  3 Er 2.85, 3 Pr 3.01



# 2
The following is a DFT calculation (PBE) of crystalline TbLuTh2 at its relaxed geometry.

## Properties
relative energy among the computed polymorphs: 0.0908 eV per atom
size of the total moment: 0.00 μB/cell
calculated formation energy: 0.131 eV per atom
calculated volume: 31.5 Å³ per atom

Lattice parameters (Å, degrees): 5.6263 5.6263 5.6263 60.00 60.00 60.00
Last column: nearest neighbours and their distance in Å.
Atoms (fractional coordinates):
Tb  0.0000  0.0000  0.0000  8 Th 3.45
Lu  0.5000  0.5000  0.5000  8 Th 3.45
Th  0.2500  0.2500  0.2500  4 Tb 3.45, 4 Lu 3.45
Th  0.7500  0.7500  0.7500  4 Tb 3.45, 4 Lu 3.45



# 3
The following is a DFT calculation (PBE) of crystalline SmEr5Ru4 at its relaxed geometry.

## Properties
size of the total moment: 0.00 μB/cell
calculated formation energy: -0.339 eV per atom
calculated volume: 21.8 Å³ per atom

Lattice parameters (Å, degrees): 3.3852 3.3852 19.0521 90.00 90.00 90.00
Last column: nearest neighbours and their distance in Å.
Atoms (fractional coordinates):
Sm  0.0000  0.0000  0.0000  4 Sm 3.39, 8 Er 3.72
Er  0.5000  0.5000  0.1491  4 Ru 2.85
Er  0.5000  0.5000  0.3243  8 Ru 2.91-2.99
Er  0.5000  0.5000  0.5000  8 Ru 2.93
Er  0.5000  0.5000  0.6757  8 Ru 2.91-2.99
Er  0.5000  0.5000  0.8509  4 Ru 2.85
Ru  0.0000  0.0000  0.2303  8 Er 2.85-2.99
Ru  0.0000  0.0000  0.4114  8 Er 2.91-2.93
Ru  0.0000  0.0000  0.5886  8 Er 2.91-2.93
Ru  0.0000  0.0000  0.7697  8 Er 2.85-2.99



# 4
The following is a DFT calculation (PBE) of crystalline ScTl2Ni at its relaxed geometry.

## Properties
size of the total moment: 0.00 μB/cell
calculated formation energy: 0.070 eV per atom
calculated volume: 20.8 Å³ per atom

Lattice parameters (Å, degrees): 5.3765 5.3765 5.3765 132.37 132.37 69.65
Last column: nearest neighbours and their distance in Å.
Atoms (fractional coordinates):
Sc  0.0000  0.0000  0.0000  8 Tl 3.07-3.10, 4 Ni 3.10
Tl  0.2500  0.7500  0.5000  4 Ni 3.07, 4 Tl 3.10, 4 Sc 3.10
Tl  0.5000  0.5000  0.0000  4 Sc 3.07, 4 Ni 3.10, 4 Tl 3.10
Ni  0.7500  0.2500  0.5000  8 Tl 3.07-3.10, 4 Sc 3.10



# 5
The following is a DFT calculation (PBE) of crystalline LaTm2Ir9 at its relaxed geometry.

## Properties
size of the total moment: 0.00 μB/cell
calculated formation energy: -0.593 eV per atom
calculated volume: 17.9 Å³ per atom

Lattice parameters (Å, degrees): 9.2553 9.2553 9.2553 33.52 33.52 33.52
Last column: nearest neighbours and their distance in Å.
Atoms (fractional coordinates):
La  0.0000  0.0000  0.0000  18 Ir 3.08-3.45
Tm  0.1399  0.1399  0.1399  12 Ir 3.05-3.27, 3 Tm 3.38
Tm  0.8601  0.8601  0.8601  12 Ir 3.05-3.27, 3 Tm 3.38
Ir  0.0826  0.5838  0.5838  7 Ir 2.66-2.68
Ir  0.3332  0.3332  0.3332  6 Ir 2.67-2.68
Ir  0.4162  0.4162  0.9174  7 Ir 2.66-2.68
Ir  0.4162  0.9174  0.4162  7 Ir 2.66-2.68
Ir  0.5000  0.5000  0.5000  6 Ir 2.67
Ir  0.5838  0.0826  0.5838  7 Ir 2.66-2.68
Ir  0.5838  0.5838  0.0826  7 Ir 2.66-2.68
Ir  0.6668  0.6668  0.6668  6 Ir 2.67-2.68
Ir  0.9174  0.4162  0.4162  7 Ir 2.66-2.68



# 6
The following is a DFT calculation (PBE) of crystalline BaCa2Sm at its relaxed geometry.

## Properties
relative energy among the computed polymorphs: 0.0515 eV per atom
size of the total moment: 0.00 μB/cell
calculated formation energy: 0.143 eV per atom
calculated volume: 42.8 Å³ per atom

Lattice parameters (Å, degrees): 6.3048 6.3048 4.3074 90.00 90.00 90.00
Last column: nearest neighbours and their distance in Å.
Atoms (fractional coordinates):
Ba  0.0000  0.0000  0.0000  8 Ca 3.82
Ca  0.0000  0.5000  0.5000  4 Ba 3.82, 4 Sm 3.82
Ca  0.5000  0.0000  0.5000  4 Ba 3.82, 4 Sm 3.82
Sm  0.5000  0.5000  0.0000  8 Ca 3.82



# 7
The following is a DFT calculation (PBE) of crystalline Ca4SmS5 at its relaxed geometry.

## Properties
size of the total moment: 0.00 μB/cell
E_form (uncorrected): -21.2 eV/f.u.
calculated volume: 23.1 Å³ per atom

Lattice parameters (Å, degrees): 14.5661 14.5661 14.5661 164.12 164.12 22.53
Last column: nearest neighbours and their distance in Å.
Atoms (fractional coordinates):
Ca  0.1003  0.1003  0.0000  6 S 2.85-2.86
Ca  0.2998  0.2998  0.0000  6 S 2.85-2.87
Ca  0.7002  0.7002  0.0000  6 S 2.85-2.87
Ca  0.8997  0.8997  0.0000  6 S 2.85-2.86
Sm  0.5000  0.5000  0.0000  6 S 2.85
S  0.0000  0.0000  0.0000  4 Sm 2.85, 2 Ca 2.86
S  0.1999  0.1999  0.0000  6 Ca 2.85-2.86
S  0.4002  0.4002  0.0000  5 Ca 2.85-2.87, 1 Sm 2.85
S  0.5998  0.5998  0.0000  5 Ca 2.85-2.87, 1 Sm 2.85
S  0.8001  0.8001  0.0000  6 Ca 2.85-2.86



# 8
The following is a DFT calculation (PBE) of crystalline PrPu3N4 at its relaxed geometry.

## Properties
size of the total moment: 14.23 μB/cell
E_form (uncorrected): -10.1 eV/f.u.
calculated volume: 15.5 Å³ per atom

Lattice parameters (Å, degrees): 6.1184 6.1184 3.5231 90.00 90.00 109.44
Last column: nearest neighbours and their distance in Å.
Atoms (fractional coordinates):
Pr  0.0000  0.0000  0.0000  6 N 2.60-2.61
Pu  0.0000  0.5000  0.5000  6 N 2.50
Pu  0.5000  0.0000  0.5000  6 N 2.50
Pu  0.5000  0.5000  0.0000  6 N 2.39
N  0.2610  0.7390  0.0000  5 Pu 2.39-2.50, 1 Pr 2.61
N  0.2712  0.2712  0.5000  4 Pu 2.39-2.50, 2 Pr 2.60
N  0.7288  0.7288  0.5000  4 Pu 2.39-2.50, 2 Pr 2.60
N  0.7390  0.2610  0.0000  5 Pu 2.39-2.50, 1 Pr 2.61



# 9
The following is a DFT calculation (PBE) of crystalline CoSiW2 at its relaxed geometry.

## Properties
size of the total moment: 0.00 μB/cell
E_form (uncorrected): -0.3 eV/f.u.
calculated volume: 13.7 Å³ per atom

Lattice parameters (Å, degrees): 2.7433 3.9753 5.2041 90.00 105.13 90.00
Last column: nearest neighbours and their distance in Å.
Atoms (fractional coordinates):
Co  0.0000  0.0000  0.0000  2 Si 2.34
Si  0.1204  0.5000  0.2450  2 Co 2.34
W  0.3906  0.5000  0.7804  4 Co 2.65-2.66, 3 Si 2.69-2.71, 6 W 2.74-2.89
W  0.7305  0.0000  0.4677  4 Si 2.66, 3 Co 2.67-2.72, 6 W 2.74-2.89



# 10
The following is a DFT calculation (PBE) of crystalline TlSn2Br at its relaxed geometry.

## Properties
relative energy among the computed polymorphs: 0.1509 eV per atom
size of the total moment: 0.00 μB/cell
E_form (uncorrected): 0.2 eV/f.u.
calculated volume: 28.1 Å³ per atom

Lattice parameters (Å, degrees): 5.4152 5.4152 5.4152 60.00 60.00 60.00
Last column: nearest neighbours and their distance in Å.
Atoms (fractional coordinates):
Tl  0.0000  0.0000  0.0000  8 Sn 3.32
Sn  0.2500  0.2500  0.2500  4 Br 3.32, 4 Tl 3.32
Sn  0.7500  0.7500  0.7500  4 Br 3.32, 4 Tl 3.32
Br  0.5000  0.5000  0.5000  8 Sn 3.32



# 11
The following is a DFT calculation (PBE) of crystalline SrCoCl at its relaxed geometry.

## Properties
size of the total moment: 2.45 μB/cell
E_form (uncorrected): -0.9 eV/f.u.
calculated volume: 24.3 Å³ per atom

Lattice parameters (Å, degrees): 5.8731 5.8731 5.8731 117.73 92.42 119.50
Last column: nearest neighbours and their distance in Å.
Atoms (fractional coordinates):
Sr  0.0000  0.0000  0.0000  4 Cl 2.94, 2 Co 3.18
Sr  0.5000  0.0000  0.5000  4 Cl 2.94, 2 Co 3.18
Co  0.3368  0.5868  0.7500  2 Cl 2.51
Co  0.6632  0.4132  0.2500  2 Cl 2.51
Cl  0.0000  0.0000  0.5000  2 Co 2.51
Cl  0.0000  0.5000  0.0000  2 Co 2.51



# 12
The following is a DFT calculation (PBE) of crystalline K2RbAgAs at its relaxed geometry.

## Properties
size of the total moment: 0.00 μB/cell
calculated formation energy: -0.093 eV per atom
calculated volume: 44.3 Å³ per atom

Lattice parameters (Å, degrees): 6.6203 6.6203 5.0549 90.00 90.00 90.00
Last column: nearest neighbours and their distance in Å.
Atoms (fractional coordinates):
K  0.0000  0.5000  0.0000  2 As 3.31
K  0.5000  0.0000  0.0000  2 As 3.31
Rb  0.0000  0.0000  0.5000  8 K 4.16
Ag  0.5000  0.5000  0.5000  2 As 2.53
As  0.5000  0.5000  0.0000  2 Ag 2.53



Which of these has the highest size of the total moment? PrPu3N4